PBE K2ZrCr, optimized geometry; E above lowest polymorph = 2.04 eV per formula unit; total moment = 4.9 μB per cell; DOS at the Fermi energy = 4.3 states/eV per cell; DFT formation energy = 1.187 eV per atom
1.0
-5.5426 4.2860 1.0858
-5.0187 -0.4285 4.9898
6.9904 -0.1911 -1.1689
K Zr Cr
2 1 1
Direct
0.0000 0.0000 0.0000
0.5000 0.5000 0.0000
0.2500 0.7500 0.5000
0.7500 0.2500 0.5000

PBE Nd2NiP3Pt12, optimized geometry; total moment = 0.0 μB per cell; DOS at the Fermi energy = 9.2 states/eV per cell; DFT formation energy = -0.399 eV per atom
1.0
-1.7655 4.0992 6.2688
4.3071 -1.3875 6.2244
5.0069 5.5260 1.9006
Nd Pt P Ni
2 12 3 1
Direct
0.3816 0.3816 0.3816
0.6184 0.6184 0.6184
0.6341 0.1193 0.1193
0.3472 0.8958 0.3472
0.3659 0.8807 0.8807
0.8807 0.8807 0.3659
0.3472 0.3472 0.8958
0.8807 0.3659 0.8807
0.1193 0.1193 0.6341
0.1193 0.6341 0.1193
0.6528 0.1042 0.6528
0.1042 0.6528 0.6528
0.8958 0.3472 0.3472
0.6528 0.6528 0.1042
0.0000 0.0000 0.5000
0.5000 0.0000 0.0000
0.0000 0.5000 0.0000
0.0000 0.0000 0.0000

PBE AcSmDy2S6, optimized geometry; energy relative to the elements, uncorrected = -2.073 eV/atom; total moment = 0.0 μB per cell; DOS at the Fermi energy = 0.0 states/eV per cell
1.0
7.1290 0.0002 0.0007
3.5646 6.1739 0.0005
3.5647 2.0584 6.2092
S Dy Sm Ac
6 2 1 1
Direct
0.1552 0.3736 0.7434
0.9032 0.6254 0.2421
0.7278 0.1552 0.7434
0.2295 0.9032 0.2420
0.3735 0.7279 0.7433
0.6254 0.2295 0.2420
0.5187 0.5187 0.4439
0.0135 0.0136 0.9593
0.3127 0.3127 0.0618
0.8020 0.8020 0.5940

no.,DFT total energy (eV/atom)
1,-3.9050
2,-6.1787
3,-6.3530